1.
Pa2GaSi2 | PBE-GGA | relaxed

Output
The raw total energy comes out at -7.01 eV/atom. The uncorrected formation energy comes out at -0.44 eV per atom. The space group is Immm (71).

POSCAR file:
```
Pa2GaSi2
1.0
-2.006 2.865 4.361
2.006 -2.865 4.361
2.006 2.865 -4.361
Pa Ga Si
2 1 2
Cartesian
0.000 0.000 1.900 Pa
0.000 0.000 6.822 Pa
0.000 2.865 0.000 Ga
2.006 1.172 0.000 Si
0.000 1.693 4.361 Si
```

2.
Pa2GaSi3 | PBE-GGA | relaxed

Output
The raw total energy comes out at -6.84 eV/atom. The uncorrected formation energy comes out at -0.46 eV per atom. The space group is Pmm2 (25).

POSCAR file:
```
Pa2GaSi3
1.0
3.969 0.000 0.000
0.000 4.073 0.000
0.000 0.000 7.120
Pa Ga Si
2 1 3
Cartesian
0.000 0.000 0.000 Pa
0.000 2.036 3.398 Pa
1.985 2.036 5.846 Ga
1.985 0.000 2.283 Si
1.985 0.000 4.625 Si
1.985 2.036 1.116 Si
```

3.
PaGa4Si | PBE-GGA | relaxed

Output
The raw total energy comes out at -4.45 eV/atom. The uncorrected formation energy comes out at 0.06 eV per atom. The space group is F-43m (216).

POSCAR file:
```
PaGa4Si
1.0
0.000 3.830 3.830
3.830 0.000 3.830
3.830 3.830 0.000
Pa Ga Si
1 4 1
Cartesian
0.000 0.000 0.000 Pa
2.879 2.879 2.879 Ga
4.782 4.782 2.879 Ga
4.782 2.879 4.782 Ga
2.879 4.782 4.782 Ga
5.746 5.746 5.746 Si
```

4.
Pa4GaSi3 | PBE-GGA | relaxed

Output
The raw total energy comes out at -7.55 eV/atom. The uncorrected formation energy comes out at -0.39 eV per atom. The space group is Pmm2 (25).

POSCAR file:
```
Pa4GaSi3
1.0
3.982 0.000 0.000
0.000 4.121 0.000
0.000 0.000 10.614
Pa Ga Si
4 1 3
Cartesian
0.000 0.000 0.000 Pa
0.000 2.060 5.214 Pa
1.991 0.000 2.963 Pa
1.991 2.060 8.367 Pa
1.991 0.000 6.018 Ga
0.000 0.000 7.666 Si
0.000 2.060 2.309 Si
1.991 2.060 0.680 Si
```

5.
Pa12GaSi6 | PBE-GGA | relaxed

Output
The raw total energy comes out at -8.08 eV/atom. The uncorrected formation energy comes out at -0.21 eV per atom. The space group is Im-3 (204).

POSCAR file:
```
Pa12GaSi6
1.0
-4.714 4.714 4.714
4.714 -4.714 4.714
4.714 4.714 -4.714
Pa Ga Si
12 1 6
Cartesian
4.714 -2.233 2.776 Pa
2.481 1.939 0.000 Pa
6.948 1.939 0.000 Pa
2.776 4.714 -2.233 Pa
1.939 0.000 2.481 Pa
0.000 2.481 1.939 Pa
4.714 2.233 2.776 Pa
2.776 4.714 2.233 Pa
1.939 0.000 6.948 Pa
-2.233 2.776 4.714 Pa
2.233 2.776 4.714 Pa
0.000 6.948 1.939 Pa
0.000 0.000 0.000 Ga
4.714 0.000 1.137 Si
4.714 3.577 0.000 Si
1.137 4.714 0.000 Si
3.577 0.000 4.714 Si
0.000 1.137 4.714 Si
0.000 4.714 3.577 Si
```

6.
PaGaSi2 | PBE-GGA | relaxed

Output
The calculation puts the polymorph energy (0 for the lowest one) at 6.06 kcal/mol of atoms. The raw total energy comes out at -6.00 eV/atom. The uncorrected formation energy comes out at -0.16 eV per atom. The space group is R-3m (166).

POSCAR file:
```
PaGaSi2
1.0
2.164 1.249 4.609
-2.164 1.249 4.609
0.000 -2.499 4.609
Pa Ga Si
1 1 2
Cartesian
0.000 0.000 0.000 Pa
0.000 0.000 6.913 Ga
0.000 0.000 2.995 Si
0.000 0.000 10.831 Si
```